Entry 1:
## HgTePt2 (PBE)

Data for HgTePt2 after structural relaxation.

Cell lengths 3.763, 3.763, 5.732 Å; angles 90.00, 90.00, 90.00 degrees
Fractional coordinates of all 4 atoms:
Hg: 0.000 0.000 0.000
Te: 0.500 0.500 0.624
Pt: 0.000 0.000 0.487
Pt: 0.500 0.500 0.167

Values from the calculation:
energy above the most stable polymorph in this dataset	56	meV per atom
SG	P4mm
formation energy without anion corrections	0.029	eV per formula unit

Entry 2:
## Cs2BePtCl6 (PBE)

Data for Cs2BePtCl6 after structural relaxation.

Cell lengths 7.440, 7.440, 7.440 Å; angles 124.30, 124.30, 82.71 degrees
Fractional coordinates of all 10 atoms:
Cs: 0.250 0.750 0.500
Cs: 0.750 0.250 0.500
Be: 0.000 0.000 0.000
Pt: 0.500 0.500 0.000
Cl: 0.222 0.222 0.444
Cl: 0.222 0.778 0.000
Cl: 0.291 0.291 0.000
Cl: 0.709 0.709 0.000
Cl: 0.778 0.222 0.000
Cl: 0.778 0.778 0.556

Values from the calculation:
SG	I4/mmm
formation energy without anion corrections	-11.072	eV per formula unit

Entry 3:
## Rb2La2HfSe6 (PBE)

Data for Rb2La2HfSe6 after structural relaxation.

Cell lengths 7.343, 7.343, 8.526 Å; angles 98.64, 98.64, 119.18 degrees
Fractional coordinates of all 11 atoms:
Rb: 0.172 0.828 0.000
Rb: 0.828 0.172 0.000
La: 0.334 0.666 0.500
La: 0.666 0.334 0.500
Hf: 0.000 0.000 0.500
Se: 0.066 0.370 0.692
Se: 0.234 0.234 0.309
Se: 0.370 0.066 0.692
Se: 0.630 0.934 0.308
Se: 0.766 0.766 0.691
Se: 0.934 0.630 0.308

Values from the calculation:
SG	C2/m
formation energy without anion corrections	-18.409	eV per formula unit

Entry 4:
## ZrW (PBE)

Data for ZrW after structural relaxation.

Cell lengths 5.625, 5.625, 5.625 Å; angles 145.61, 129.44, 62.58 degrees
Fractional coordinates of all 4 atoms:
Zr: 0.367 0.117 0.250
Zr: 0.633 0.883 0.750
W: 0.106 0.356 0.750
W: 0.894 0.644 0.250

Values from the calculation:
SG	Imma
E_form	88.5	meV/atom

Entry 5:
## Sc12Ni6Ge (PBE)

Data for Sc12Ni6Ge after structural relaxation.

Cell lengths 7.775, 7.775, 7.775 Å; angles 109.47, 109.47, 109.47 degrees
Fractional coordinates of all 19 atoms:
Sc: 0.108 0.813 0.295
Sc: 0.187 0.295 0.483
Sc: 0.187 0.705 0.892
Sc: 0.295 0.108 0.813
Sc: 0.295 0.483 0.187
Sc: 0.483 0.187 0.295
Sc: 0.517 0.813 0.705
Sc: 0.705 0.517 0.813
Sc: 0.705 0.892 0.187
Sc: 0.813 0.295 0.108
Sc: 0.813 0.705 0.517
Sc: 0.892 0.187 0.705
Ni: 0.133 0.633 0.500
Ni: 0.367 0.500 0.867
Ni: 0.500 0.133 0.633
Ni: 0.500 0.867 0.367
Ni: 0.633 0.500 0.133
Ni: 0.867 0.367 0.500
Ge: 0.000 0.000 0.000

Values from the calculation:
SG	Im-3
E_form	-422.9	meV/atom

Entry 6:
## PmSm4Te4 (PBE)

Data for PmSm4Te4 after structural relaxation.

Cell lengths 8.771, 8.771, 8.771 Å; angles 132.49, 132.49, 69.46 degrees
Fractional coordinates of all 9 atoms:
Pm: 0.000 0.000 0.000
Sm: 0.000 0.500 0.500
Sm: 0.258 0.258 0.000
Sm: 0.500 0.000 0.500
Sm: 0.742 0.742 0.000
Te: 0.118 0.625 0.000
Te: 0.375 0.375 0.493
Te: 0.625 0.118 0.000
Te: 0.882 0.882 0.507

Values from the calculation:
SG	I-42m
formation energy without anion corrections	-7.300	eV per formula unit

Entry 7:
## Zr2CdP (PBE)

Data for Zr2CdP after structural relaxation.

Cell lengths 3.872, 5.728, 5.728 Å; angles 38.64, 90.00, 90.00 degrees
Fractional coordinates of all 4 atoms:
Zr: 0.000 0.000 0.000
Zr: 0.500 0.318 0.318
Cd: 0.500 0.591 0.591
P: 0.000 0.754 0.754

Values from the calculation:
energy above the most stable polymorph in this dataset	215	meV per atom
SG	Amm2
E_form	-517.3	meV/atom

Entry 8:
## Ba2ZrAg (PBE)

Data for Ba2ZrAg after structural relaxation.

Cell lengths 11.348, 11.348, 11.348 Å; angles 19.30, 19.30, 19.30 degrees
Fractional coordinates of all 4 atoms:
Ba: 0.245 0.245 0.245
Ba: 0.755 0.755 0.755
Zr: 0.000 0.000 0.000
Ag: 0.500 0.500 0.500

Values from the calculation:
energy above the most stable polymorph in this dataset	225	meV per atom
SG	R-3m
E_form	450.9	meV/atom

Entry 9:
## Pr12Ru5Rh3 (PBE)

Data for Pr12Ru5Rh3 after structural relaxation.

Cell lengths 14.576, 14.576, 14.576 Å; angles 109.47, 109.47, 109.47 degrees
Fractional coordinates of all 80 atoms:
Pr: 0.042 0.218 0.127
Pr: 0.042 0.324 0.915
Pr: 0.085 0.627 0.410
Pr: 0.085 0.958 0.676
Pr: 0.090 0.718 0.676
Pr: 0.090 0.873 0.415
Pr: 0.127 0.042 0.218
Pr: 0.127 0.585 0.910
Pr: 0.176 0.218 0.590
Pr: 0.176 0.458 0.585
Pr: 0.218 0.127 0.042
Pr: 0.218 0.590 0.176
Pr: 0.282 0.324 0.910
Pr: 0.282 0.458 0.373
Pr: 0.324 0.910 0.282
Pr: 0.324 0.915 0.042
Pr: 0.373 0.282 0.458
Pr: 0.373 0.590 0.915
Pr: 0.410 0.085 0.627
Pr: 0.410 0.824 0.782
Pr: 0.415 0.090 0.873
Pr: 0.415 0.824 0.542
Pr: 0.458 0.373 0.282
Pr: 0.458 0.585 0.176
Pr: 0.542 0.415 0.824
Pr: 0.542 0.627 0.718
Pr: 0.585 0.176 0.458
Pr: 0.585 0.910 0.127
Pr: 0.590 0.176 0.218
Pr: 0.590 0.915 0.373
Pr: 0.627 0.410 0.085
Pr: 0.627 0.718 0.542
Pr: 0.676 0.085 0.958
Pr: 0.676 0.090 0.718
Pr: 0.718 0.542 0.627
Pr: 0.718 0.676 0.090
Pr: 0.782 0.410 0.824
Pr: 0.782 0.873 0.958
Pr: 0.824 0.542 0.415
Pr: 0.824 0.782 0.410
Pr: 0.873 0.415 0.090
Pr: 0.873 0.958 0.782
Pr: 0.910 0.127 0.585
Pr: 0.910 0.282 0.324
Pr: 0.915 0.042 0.324
Pr: 0.915 0.373 0.590
Pr: 0.958 0.676 0.085
Pr: 0.958 0.782 0.873
Ru: 0.000 0.000 0.000
Ru: 0.000 0.000 0.500
Ru: 0.000 0.500 0.000
Ru: 0.000 0.500 0.500
Ru: 0.125 0.750 0.875
Ru: 0.125 0.875 0.250
Ru: 0.250 0.125 0.875
Ru: 0.250 0.625 0.375
Ru: 0.375 0.250 0.625
Ru: 0.375 0.625 0.750
Ru: 0.500 0.000 0.000
Ru: 0.500 0.000 0.500
Ru: 0.500 0.500 0.000
Ru: 0.500 0.500 0.500
Ru: 0.625 0.375 0.250
Ru: 0.625 0.750 0.375
Ru: 0.750 0.375 0.625
Ru: 0.750 0.875 0.125
Ru: 0.875 0.125 0.750
Ru: 0.875 0.250 0.125
Rh: 0.125 0.250 0.375
Rh: 0.125 0.375 0.750
Rh: 0.250 0.375 0.125
Rh: 0.250 0.875 0.625
Rh: 0.375 0.125 0.250
Rh: 0.375 0.750 0.125
Rh: 0.625 0.250 0.875
Rh: 0.625 0.875 0.750
Rh: 0.750 0.125 0.375
Rh: 0.750 0.625 0.875
Rh: 0.875 0.625 0.250
Rh: 0.875 0.750 0.625

Values from the calculation:
SG	Ia-3d
E_form	63.7	meV/atom

Entry 10:
## Pr3GeBr2 (PBE)

Data for Pr3GeBr2 after structural relaxation.

Cell lengths 7.533, 7.533, 7.650 Å; angles 99.41, 99.41, 120.03 degrees
Fractional coordinates of all 12 atoms:
Pr: 0.077 0.427 0.781
Pr: 0.223 0.223 0.216
Pr: 0.427 0.077 0.781
Pr: 0.573 0.923 0.219
Pr: 0.777 0.777 0.784
Pr: 0.923 0.573 0.219
Ge: 0.167 0.833 0.000
Ge: 0.833 0.167 0.000
Br: 0.000 0.000 0.500
Br: 0.334 0.666 0.500
Br: 0.500 0.500 0.000
Br: 0.666 0.334 0.500

Values from the calculation:
energy above the most stable polymorph in this dataset	0	meV per atom
SG	C2/m
formation energy without anion corrections	-6.937	eV per formula unit

Entry 11:
## LaYPO2 (PBE)

Data for LaYPO2 after structural relaxation.

Cell lengths 4.337, 4.337, 5.908 Å; angles 90.00, 90.00, 90.00 degrees
Fractional coordinates of all 5 atoms:
La: 0.000 0.000 0.000
Y: 0.500 0.500 0.500
P: 0.000 0.000 0.500
O: 0.000 0.500 0.000
O: 0.500 0.000 0.000

Values from the calculation:
energy above the most stable polymorph in this dataset	340	meV per atom
SG	P4/mmm
formation energy without anion corrections	-8.012	eV per formula unit

Entry 12:
## TaAlC3 (PBE)

Data for TaAlC3 after structural relaxation.

Cell lengths 4.188, 4.188, 4.188 Å; angles 90.00, 90.00, 90.00 degrees
Fractional coordinates of all 5 atoms:
Ta: 0.000 0.000 0.000
Al: 0.500 0.500 0.500
C: 0.000 0.000 0.500
C: 0.000 0.500 0.000
C: 0.500 0.000 0.000

Values from the calculation:
energy above the most stable polymorph in this dataset	0	meV per atom
SG	Pm-3m
E_form	1800.0	meV/atom

Entry 13:
## Na2TlRuO4 (PBE)

Data for Na2TlRuO4 after structural relaxation.

Cell lengths 6.151, 6.151, 6.151 Å; angles 126.94, 126.94, 78.35 degrees
Fractional coordinates of all 8 atoms:
Na: 0.000 0.000 0.000
Na: 0.750 0.250 0.500
Tl: 0.500 0.500 0.000
Ru: 0.250 0.750 0.500
O: 0.100 0.658 0.081
O: 0.342 0.422 0.441
O: 0.578 0.019 0.919
O: 0.981 0.900 0.559

Values from the calculation:
SG	I-4
formation energy without anion corrections	-8.312	eV per formula unit

Entry 14:
## Y2ReSnC (PBE)

Data for Y2ReSnC after structural relaxation.

Cell lengths 4.971, 4.971, 4.054 Å; angles 90.00, 90.00, 90.00 degrees
Fractional coordinates of all 5 atoms:
Y: 0.000 0.500 0.000
Y: 0.500 0.000 0.000
Re: 0.000 0.000 0.500
Sn: 0.500 0.500 0.500
C: 0.000 0.000 0.000

Values from the calculation:
SG	P4/mmm
E_form	-383.7	meV/atom

Entry 15:
## AcLaB (PBE)

Data for AcLaB after structural relaxation.

Cell lengths 7.603, 4.161, 10.908 Å; angles 90.00, 96.82, 90.00 degrees
Fractional coordinates of all 12 atoms:
Ac: 0.168 0.210 0.400
Ac: 0.168 0.290 0.900
Ac: 0.832 0.710 0.100
Ac: 0.832 0.790 0.600
La: 0.351 0.647 0.163
La: 0.351 0.853 0.663
La: 0.649 0.147 0.337
La: 0.649 0.353 0.837
B: 0.474 0.632 0.445
B: 0.474 0.868 0.945
B: 0.526 0.132 0.055
B: 0.526 0.368 0.555

Values from the calculation:
SG	P2_1/c
E_form	61.2	meV/atom

Entry 16:
## SbAuBr4 (PBE)

Data for SbAuBr4 after structural relaxation.

Cell lengths 6.160, 6.160, 6.160 Å; angles 60.00, 60.00, 60.00 degrees
Fractional coordinates of all 6 atoms:
Sb: 0.000 0.000 0.000
Au: 0.750 0.750 0.750
Br: 0.376 0.376 0.376
Br: 0.376 0.376 0.872
Br: 0.376 0.872 0.376
Br: 0.872 0.376 0.376

Values from the calculation:
energy above the most stable polymorph in this dataset	1237	meV per atom
SG	F-43m
formation energy without anion corrections	4.916	eV per formula unit

Entry 17:
## Y3HgTe (PBE)

Data for Y3HgTe after structural relaxation.

Cell lengths 11.976, 4.046, 12.077 Å; angles 90.00, 90.00, 90.00 degrees
Fractional coordinates of all 20 atoms:
Y: 0.051 0.250 0.136
Y: 0.127 0.750 0.550
Y: 0.227 0.250 0.777
Y: 0.273 0.750 0.277
Y: 0.373 0.250 0.050
Y: 0.449 0.750 0.636
Y: 0.551 0.250 0.364
Y: 0.627 0.750 0.950
Y: 0.727 0.250 0.723
Y: 0.773 0.750 0.223
Y: 0.873 0.250 0.450
Y: 0.949 0.750 0.864
Hg: 0.015 0.750 0.321
Hg: 0.485 0.250 0.821
Hg: 0.515 0.750 0.179
Hg: 0.985 0.250 0.679
Te: 0.182 0.750 0.984
Te: 0.318 0.250 0.484
Te: 0.682 0.750 0.516
Te: 0.818 0.250 0.016

Values from the calculation:
energy above the most stable polymorph in this dataset	0	meV per atom
SG	Pnma
formation energy without anion corrections	-3.508	eV per formula unit

Entry 18:
## MnBi2HS (PBE)

Data for MnBi2HS after structural relaxation.

Cell lengths 5.689, 5.689, 3.282 Å; angles 90.00, 90.00, 90.00 degrees
Fractional coordinates of all 5 atoms:
Mn: 0.000 0.000 0.000
Bi: 0.000 0.500 0.500
Bi: 0.500 0.000 0.500
H: 0.500 0.500 0.000
S: 0.500 0.500 0.500

Values from the calculation:
SG	P4/mmm

Entry 19:
## Cs2UBiSe4 (PBE)

Data for Cs2UBiSe4 after structural relaxation.

Cell lengths 15.522, 13.770, 8.604 Å; angles 84.50, 62.01, 33.49 degrees
Fractional coordinates of all 16 atoms:
Cs: 0.055 0.055 0.695
Cs: 0.305 0.305 0.945
Cs: 0.695 0.695 0.055
Cs: 0.945 0.945 0.305
U: 0.125 0.125 0.125
U: 0.875 0.875 0.875
Bi: 0.375 0.375 0.375
Bi: 0.625 0.625 0.625
Se: 0.062 0.301 0.402
Se: 0.265 0.598 0.699
Se: 0.301 0.062 0.735
Se: 0.402 0.735 0.062
Se: 0.598 0.265 0.938
Se: 0.699 0.938 0.265
Se: 0.735 0.402 0.301
Se: 0.938 0.699 0.598

Values from the calculation:
SG	Fddd
formation energy without anion corrections	-6.464	eV per formula unit

Entry 20:
## BaSr2Sc (PBE)

Data for BaSr2Sc after structural relaxation.

Cell lengths 6.322, 6.322, 6.322 Å; angles 60.00, 60.00, 60.00 degrees
Fractional coordinates of all 4 atoms:
Ba: 0.000 0.000 0.000
Sr: 0.250 0.250 0.250
Sr: 0.750 0.750 0.750
Sc: 0.500 0.500 0.500

Values from the calculation:
energy above the most stable polymorph in this dataset	5	meV per atom
SG	Fm-3m
E_form	277.5	meV/atom

Number 1: density of states at the Fermi level 1.1 states/eV/f.u., electronic total energy -3.874 eV per atom. Number 2: density of states at the Fermi level 1.1 states/eV/f.u., electronic total energy -3.363 eV per atom. Number 3: density of states at the Fermi level 0.0 states/eV/f.u., electronic total energy -5.551 eV per atom. Number 4: density of states at the Fermi level 2.1 states/eV/f.u., electronic total energy -10.662 eV per atom. Number 5: density of states at the Fermi level 25.6 states/eV/f.u., electronic total energy -6.490 eV per atom. Number 6: density of states at the Fermi level 8.7 states/eV/f.u., electronic total energy -4.833 eV per atom. Number 7: density of states at the Fermi level 2.5 states/eV/f.u., electronic total energy -6.373 eV per atom. Number 8: density of states at the Fermi level 6.3 states/eV/f.u., electronic total energy -3.360 eV per atom. Number 9: density of states at the Fermi level 14.4 states/eV/f.u., electronic total energy -6.226 eV per atom. Number 10: density of states at the Fermi level 2.6 states/eV/f.u., electronic total energy -4.873 eV per atom. Number 11: density of states at the Fermi level 2.6 states/eV/f.u., electronic total energy -6.946 eV per atom. Number 12: density of states at the Fermi level 2.3 states/eV/f.u., electronic total energy -6.853 eV per atom. Number 13: density of states at the Fermi level 1.7 states/eV/f.u., electronic total energy -5.303 eV per atom. Number 14: density of states at the Fermi level 3.5 states/eV/f.u., electronic total energy -8.104 eV per atom. Number 15: density of states at the Fermi level 3.4 states/eV/f.u., electronic total energy -5.177 eV per atom. Number 16: density of states at the Fermi level 8.7 states/eV/f.u., electronic total energy -1.529 eV per atom. Number 17: density of states at the Fermi level 5.5 states/eV/f.u., electronic total energy -5.269 eV per atom. Number 18: density of states at the Fermi level 2.1 states/eV/f.u., electronic total energy -4.602 eV per atom. Number 19: density of states at the Fermi level 5.6 states/eV/f.u., electronic total energy -4.660 eV per atom. Number 20: density of states at the Fermi level 5.4 states/eV/f.u., electronic total energy -2.627 eV per atom.